Record 1
Density functional theory data (PBE) for a relaxed structure of Sc8Ge3PSe4.

a b c (Å): 7.7288 7.7939 7.7286
angles (deg): 119.73 120.00 90.00
Closest atoms and distances in Å follow each position.
Positions (direct):
1 Se 0.5000 0.0000 0.5000  6 Sc 2.78-2.80
2 Se 0.0000 0.0000 0.5000  6 Sc 2.78-2.80
3 Se 0.5000 0.0000 0.0000  6 Sc 2.82
4 Se 0.0000 0.0000 0.0000  6 Sc 2.78-2.80
5 Sc 0.7567 0.2664 0.5133  1 P 2.67, 2 Ge 2.69, 3 Se 2.80-2.82
6 Sc 0.2530 0.2664 0.0097  1 P 2.67, 2 Ge 2.69, 3 Se 2.80-2.82
7 Sc 0.2535 0.2604 0.5069  3 Ge 2.71, 3 Se 2.78
8 Sc 0.2433 0.7336 0.9903  1 P 2.67, 2 Ge 2.69, 3 Se 2.80-2.82
9 Sc 0.7470 0.7336 0.9903  1 P 2.67, 2 Ge 2.69, 3 Se 2.80-2.82
10 Sc 0.2433 0.7336 0.4867  1 P 2.67, 2 Ge 2.69, 3 Se 2.80-2.82
11 Sc 0.7567 0.2664 0.0097  1 P 2.67, 2 Ge 2.69, 3 Se 2.80-2.82
12 Sc 0.7465 0.7396 0.4931  3 Ge 2.71, 3 Se 2.78
13 Ge 0.0000 0.5000 0.5000  6 Sc 2.69-2.71
14 Ge 0.5000 0.5000 0.0000  6 Sc 2.69-2.71
15 Ge 0.5000 0.5000 0.5000  6 Sc 2.69-2.71
16 P 0.0000 0.5000 0.0000  6 Sc 2.67

* density: 4.64 g cm⁻³
* space-group type: R-3m
* calculated volume: 330.6 Å³/cell
* uncorrected energy: -6.589 eV per atom



Record 2
Density functional theory data (PBE) for a relaxed structure of Mg2ScAs.

a b c (Å): 3.6767 3.6767 6.1709
angles (deg): 90.00 90.00 90.00
Closest atoms and distances in Å follow each position.
Positions (direct):
1 Sc 0.0000 0.0000 0.5292  4 As 2.84, 5 Mg 2.94-3.12
2 As 0.5000 0.5000 0.7160  4 Sc 2.84, 5 Mg 2.88-3.15
3 Mg 0.5000 0.5000 0.2500  1 As 2.88, 4 Mg 3.01, 4 Sc 3.12
4 Mg 0.0000 0.0000 0.0048  2 Sc 2.94-3.24, 4 Mg 3.01, 4 As 3.15

* DFT formation energy: -162 kJ/mol of formula units
* density: 3.35 g cm⁻³
* space-group type: P4mm
* calculated volume: 83.4 Å³/cell



What is the formula in the second record?
Mg2ScAs



Number 1 is which compound?
Sc8Ge3PSe4



The highest calculated volume belongs to which entry?
Sc8Ge3PSe4



density of number 2 (Mg2ScAs)?
3.35 g cm⁻³